Material: YTmMgTl
Method: DFT, PBE
State: optimized geometry

N(E_F)	13.6	states/eV per cell
total magnetic moment	0.000	μB per atom
E	-3.953	eV/atom

abc: 7.5097 7.5097 7.5097
angles: 90.00 90.00 90.00
Closest atoms and distances in Å follow each position.
Space group F-43m (No. 216)
Asymmetric unit:
Y (0.0000, 0.0000, 0.0000)  4 Mg 3.25, 4 Tl 3.25
Tm (0.0000, 0.0000, 0.5000)  4 Tl 3.25, 4 Mg 3.25
Mg (0.2500, 0.2500, 0.2500)  4 Tm 3.25, 4 Y 3.25
Tl (0.2500, 0.2500, 0.7500)  4 Tm 3.25, 4 Y 3.25

Material: TmMgZrTl
Method: DFT, PBE
State: optimized geometry

N(E_F)	14.0	states/eV per cell
total magnetic moment	0.000	μB per atom
E	-4.291	eV/atom

abc: 7.2569 7.2569 7.2569
angles: 90.00 90.00 90.00
Closest atoms and distances in Å follow each position.
Space group F-43m (No. 216)
Asymmetric unit:
Tm (0.0000, 0.0000, 0.0000)  4 Tl 3.14, 4 Mg 3.14
Mg (0.2500, 0.2500, 0.7500)  4 Zr 3.14, 4 Tm 3.14
Zr (0.0000, 0.0000, 0.5000)  4 Tl 3.14, 4 Mg 3.14
Tl (0.2500, 0.2500, 0.2500)  4 Zr 3.14, 4 Tm 3.14

Material: Mg2TlV
Method: DFT, PBE
State: optimized geometry

N(E_F)	10.9	states/eV per cell
total magnetic moment	0.750	μB per atom
E	-3.065	eV/atom

abc: 3.1188 3.1188 33.2987
angles: 90.00 90.00 120.00
Closest atoms and distances in Å follow each position.
Space group R-3m (No. 166, hexagonal axes)
Asymmetric unit:
Mg (0.0000, 0.0000, 0.0842)  1 V 2.81, 6 Mg 3.12
Tl (0.0000, 0.0000, 0.5000)  6 Tl 3.12, 6 Mg 3.28
V (0.0000, 0.0000, 0.0000)  2 Mg 2.81, 6 V 3.12

Material: Mg2Tl2V
Method: DFT, PBE
State: optimized geometry

N(E_F)	5.2	states/eV per cell
total magnetic moment	0.646	μB per atom
E	-3.062	eV/atom

abc: 7.7064 7.7064 3.9089
angles: 90.00 90.00 90.00
Closest atoms and distances in Å follow each position.
Space group P4/mbm (No. 127)
Asymmetric unit:
Mg (0.1571, 0.3429, 0.0000)  6 Tl 2.89-3.06
Tl (0.1480, 0.6480, 0.5000)  6 Mg 2.89-3.06, 2 V 2.94, 1 Tl 3.23
V (0.0000, 0.0000, 0.5000)  4 Tl 2.94

Material: MgTlV3
Method: DFT, PBE
State: optimized geometry

N(E_F)	4.3	states/eV per cell
total magnetic moment	0.000	μB per atom
E	-4.640	eV/atom

abc: 4.5656 4.5656 4.5656
angles: 90.00 90.00 90.00
Closest atoms and distances in Å follow each position.
Space group Pm-3m (No. 221)
Asymmetric unit:
Mg (0.0000, 0.0000, 0.0000)  6 V 2.28
Tl (0.5000, 0.5000, 0.5000)  12 V 3.23
V (0.0000, 0.0000, 0.5000)  2 Mg 2.28

Material: Mg2TlV
Method: DFT, PBE
State: optimized geometry

N(E_F)	14.0	states/eV per cell
total magnetic moment	0.713	μB per atom
E	-3.114	eV/atom

abc: 7.9348 7.9348 5.8137
angles: 90.00 90.00 90.00
Closest atoms and distances in Å follow each position.
Space group I-42d (No. 122)
Asymmetric unit:
Mg (0.2449, 0.7500, 0.1250)  2 V 2.87, 2 Mg 2.91, 2 Tl 2.93
Tl (0.0000, 0.0000, 0.5000)  2 V 2.91, 4 Mg 2.93
V (0.0000, 0.0000, 0.0000)  4 Mg 2.87, 2 Tl 2.91

Material: MgTl2V
Method: DFT, PBE
State: optimized geometry

N(E_F)	16.3	states/eV per cell
total magnetic moment	0.830	μB per atom
E	-3.269	eV/atom

abc: 3.2843 3.2843 32.4256
angles: 90.00 90.00 120.00
Closest atoms and distances in Å follow each position.
Space group R-3m (No. 166, hexagonal axes)
Asymmetric unit:
Mg (0.0000, 0.0000, 0.0000)  6 Tl 3.20, 6 Mg 3.28
Tl (0.0000, 0.0000, 0.4128)  1 V 2.83
V (0.0000, 0.0000, 0.5000)  2 Tl 2.83

Material: Mg2TlV
Method: DFT, PBE
State: optimized geometry

N(E_F)	6.6	states/eV per cell
total magnetic moment	0.877	μB per atom
E	-3.326	eV/atom

abc: 6.9087 6.9087 6.9087
angles: 90.00 90.00 90.00
Closest atoms and distances in Å follow each position.
Space group Fm-3m (No. 225)
Asymmetric unit:
Mg (0.2500, 0.2500, 0.2500)  4 Tl 2.99, 4 V 2.99
Tl (0.0000, 0.0000, 0.0000)  8 Mg 2.99
V (0.0000, 0.0000, 0.5000)  8 Mg 2.99